Computed, not measured: a relaxed structure of CaTlCd2O4 at the PBE level of DFT.

Lattice parameters (Å, degrees): 3.285 13.006 11.041 90.00 90.00 90.00
Space group Cmcm (No. 63)
Asymmetric unit:
Ca (0.000, 0.232, 0.250)
Tl (0.000, 0.033, 0.750)
Cd (0.000, 0.370, 0.509)
O (0.000, 0.000, 0.000)
O (0.000, 0.210, 0.612)
O (0.000, 0.408, 0.750)

Output
**Formation energy (no corrections)**: -28.9 kcal/mol of atoms
**Total energy**: -4.508 eV per atom



Computed, not measured: a relaxed structure of Ca2UCdO6 at the PBE level of DFT.

Lattice parameters (Å, degrees): 5.8407 5.8407 15.1162 90.00 90.00 120.00
Space group R3 (No. 146, hexagonal axes)
Asymmetric unit:
Ca (0.0000, 0.0000, 0.0000)
Ca (0.0000, 0.0000, 0.4921)
U (0.0000, 0.0000, 0.7852)
Cd (0.0000, 0.0000, 0.2758)
O (0.9996, 0.3817, 0.0499)
O (0.0206, 0.7320, 0.8735)

Output
**Formation energy (no corrections)**: -63.1 kcal/mol of atoms
**Total energy**: -7.331 eV per atom



Computed, not measured: a relaxed structure of CaUCd2O6 at the PBE level of DFT.

Lattice parameters (Å, degrees): 6.059 6.059 4.471 90.00 90.00 90.00
Space group P4mm (No. 99)
Asymmetric unit:
Ca (0.000, 0.000, 0.000)
U (0.500, 0.500, 0.063)
Cd (0.000, 0.500, 0.363)
O (0.000, 0.000, 0.512)
O (0.264, 0.264, 0.104)
O (0.500, 0.500, 0.573)

Output
**Formation energy (no corrections)**: -45.1 kcal/mol of atoms
**Total energy**: -6.441 eV per atom